Material: TlNi4P
Method: DFT, PBE
State: optimized geometry Values from VASP.

Structure (Quantum ESPRESSO input):
```
&SYSTEM
  ibrav = 0, nat = 6, ntyp = 3
/
ATOMIC_SPECIES
Tl 204.38 Tl.upf
Ni 58.69 Ni.upf
P 30.97 P.upf
CELL_PARAMETERS angstrom
0.000 3.438 3.438
3.438 0.000 3.438
3.438 3.438 0.000
ATOMIC_POSITIONS crystal
Tl 0.000 0.000 0.000
Ni 0.127 0.624 0.624
Ni 0.624 0.127 0.624
Ni 0.624 0.624 0.127
Ni 0.624 0.624 0.624
P 0.250 0.250 0.250
```

Computed properties:
Total DFT energy (no corrections) = -4.838 eV per atom
V = 81.3 Å³ per cell
ΔE_f = 0.3119 eV/atom
Size of the total moment = 0.00 μB/f.u.